Version 1
Below is LiTiAu3 after structural relaxation, with properties calculated at the PBE-GGA level.

Unit cell a=5.041 b=5.041 c=5.041 alpha=90.00 beta=90.00 gamma=90.00
Element x y z (fractional)
Li: 0.500 0.500 0.500
Au: 0.000 0.500 0.000
Au: 0.000 0.000 0.500
Au: 0.500 0.000 0.000
Ti: 0.000 0.000 0.000

## Properties
- space group = Pm-3m

Version 2
Below is LiTiAu3 after structural relaxation, with properties calculated at the PBE-GGA level.

Unit cell a=4.447 b=4.447 c=4.447 alpha=90.00 beta=90.00 gamma=90.00
Element x y z (fractional)
Li: 0.000 0.000 0.000
Au: 0.000 0.500 0.000
Au: 0.000 0.000 0.500
Au: 0.500 0.000 0.000
Ti: 0.500 0.500 0.500

## Properties
- space group = Pm-3m

Version 3
Below is LiTiAu3 after structural relaxation, with properties calculated at the PBE-GGA level.

Unit cell a=6.288 b=7.747 c=8.083 alpha=58.82 beta=89.92 gamma=92.01
Element x y z (fractional)
Li: 0.698 0.413 0.050
Li: 0.802 0.087 0.450
Li: 0.302 0.587 0.950
Li: 0.198 0.913 0.550
Ti: 0.207 0.925 0.037
Ti: 0.793 0.075 0.963
Ti: 0.293 0.575 0.463
Ti: 0.707 0.425 0.537
Au: 0.423 0.300 0.852
Au: 0.077 0.200 0.648
Au: 0.577 0.700 0.148
Au: 0.923 0.800 0.352
Au: 0.917 0.796 0.854
Au: 0.493 0.999 0.256
Au: 0.083 0.204 0.146
Au: 0.507 0.001 0.744
Au: 0.417 0.296 0.354
Au: 0.993 0.499 0.756
Au: 0.583 0.704 0.646
Au: 0.007 0.501 0.244

## Properties
- space group = P-1

version 3 wins, 590 meV per atom ahead of the next structure.

Version 1
Below is LiTi2Au6 after structural relaxation, with properties calculated at the PBE-GGA level.

Unit cell a=4.904 b=8.175 c=8.175 alpha=73.99 beta=82.43 gamma=82.43
Element x y z (fractional)
Li: 0.250 0.123 0.877
Li: 0.750 0.877 0.123
Ti: 0.420 0.535 0.790
Ti: 0.080 0.210 0.465
Ti: 0.580 0.465 0.210
Ti: 0.920 0.790 0.535
Au: 0.478 0.686 0.422
Au: 0.022 0.578 0.314
Au: 0.522 0.314 0.578
Au: 0.978 0.422 0.686
Au: 0.635 0.105 0.351
Au: 0.865 0.649 0.895
Au: 0.365 0.895 0.649
Au: 0.135 0.351 0.105
Au: 0.323 0.763 0.013
Au: 0.177 0.987 0.237
Au: 0.677 0.237 0.987
Au: 0.823 0.013 0.763

## Properties
- space group = C2/c

Version 2
Below is LiTi2Au6 after structural relaxation, with properties calculated at the PBE-GGA level.

Unit cell a=4.690 b=5.579 c=7.610 alpha=111.50 beta=108.39 gamma=90.00
Element x y z (fractional)
Li: 0.000 0.000 0.000
Ti: 0.577 0.677 0.355
Ti: 0.423 0.323 0.645
Au: 0.081 0.408 0.319
Au: 0.919 0.090 0.681
Au: 0.919 0.592 0.681
Au: 0.500 0.248 0.000
Au: 0.081 0.910 0.319
Au: 0.500 0.752 0.000

## Properties
- space group = C2/m

version 1 wins, 153 meV per atom ahead of the next structure.

Version 1
Below is Li2TiAu8 after structural relaxation, with properties calculated at the PBE-GGA level.

Unit cell a=4.093 b=6.512 c=7.592 alpha=106.14 beta=105.64 gamma=90.00
Element x y z (fractional)
Li: 0.780 0.356 0.559
Li: 0.220 0.644 0.441
Ti: 0.500 0.000 0.000
Au: 0.400 0.548 0.800
Au: 0.680 0.912 0.360
Au: 0.859 0.808 0.719
Au: 0.956 0.268 0.913
Au: 0.141 0.192 0.281
Au: 0.320 0.088 0.640
Au: 0.600 0.452 0.200
Au: 0.044 0.732 0.087

## Properties
- space group = C2/m

Version 2
Below is Li2TiAu8 after structural relaxation, with properties calculated at the PBE-GGA level.

Unit cell a=4.292 b=6.798 c=7.653 alpha=116.40 beta=106.24 gamma=90.00
Element x y z (fractional)
Li: 0.196 0.696 0.392
Li: 0.804 0.304 0.608
Ti: 0.500 0.000 0.000
Au: 0.650 0.863 0.301
Au: 0.349 0.562 0.698
Au: 0.158 0.158 0.317
Au: 0.000 0.290 0.000
Au: 0.842 0.842 0.683
Au: 0.651 0.438 0.302
Au: 0.350 0.137 0.699
Au: 0.000 0.710 0.000

## Properties
- space group = Immm

version 1 wins, 42 meV per atom ahead of the next structure.

Version 1
Below is Li2TlAu after structural relaxation, with properties calculated at the PBE-GGA level.

Unit cell a=8.348 b=8.348 c=8.348 alpha=23.61 beta=23.61 gamma=23.61
Element x y z (fractional)
Au: 0.750 0.750 0.750
Li: 0.013 0.013 0.013
Li: 0.487 0.487 0.487
Tl: 0.250 0.250 0.250

## Properties
- space group = R-3m

Version 2
Below is Li2TlAu after structural relaxation, with properties calculated at the PBE-GGA level.

Unit cell a=3.429 b=3.429 c=8.233 alpha=77.98 beta=77.98 gamma=60.00
Element x y z (fractional)
Li: 0.071 0.071 0.786
Li: 0.262 0.262 0.214
Tl: 0.501 0.501 0.497
Au: 0.666 0.666 0.003

## Properties
- space group = R3m

version 2 wins, 6 meV per atom ahead of the next structure.

Version 1
Below is Li2TlAu after structural relaxation, with properties calculated at the PBE-GGA level.

Unit cell a=3.286 b=3.284 c=6.717 alpha=90.00 beta=90.00 gamma=90.00
Element x y z (fractional)
Tl: 0.500 0.500 0.250
Au: 0.500 0.500 0.750
Li: 0.000 0.000 0.962
Li: 0.000 0.000 0.538

## Properties
- space group = P4/mmm

Version 2
Below is Li2TlAu after structural relaxation, with properties calculated at the PBE-GGA level.

Unit cell a=4.702 b=4.702 c=4.702 alpha=60.00 beta=60.00 gamma=60.00
Element x y z (fractional)
Tl: 0.000 0.000 0.000
Au: 0.250 0.250 0.250
Li: 0.750 0.750 0.750
Li: 0.500 0.500 0.500

## Properties
- space group = F-43m

version 1 wins, 47 meV per atom ahead of the next structure.

Version 1
Below is Li2TlAu after structural relaxation, with properties calculated at the PBE-GGA level.

Unit cell a=4.634 b=4.634 c=4.634 alpha=60.00 beta=60.00 gamma=60.00
Element x y z (fractional)
Tl: 0.500 0.500 0.500
Au: 0.000 0.000 0.000
Li: 0.250 0.250 0.250
Li: 0.750 0.750 0.750

## Properties
- space group = Fm-3m

Version 2
Below is Li2TlAu after structural relaxation, with properties calculated at the PBE-GGA level.

Unit cell a=7.433 b=7.433 c=6.044 alpha=52.05 beta=52.05 gamma=90.00
Element x y z (fractional)
Tl: 0.000 0.000 0.000
Tl: 0.750 0.250 0.500
Au: 0.500 0.500 0.000
Au: 0.250 0.750 0.500
Li: 0.592 0.125 0.250
Li: 0.158 0.625 0.250
Li: 0.375 0.408 0.750
Li: 0.875 0.842 0.750

## Properties
- space group = I-42d

version 1 wins, 178 meV per atom ahead of the next structure.

Version 1
Below is Li7TlAu2 after structural relaxation, with properties calculated at the PBE-GGA level.

Unit cell a=4.722 b=7.392 c=7.392 alpha=118.44 beta=90.00 gamma=90.00
Element x y z (fractional)
Li: 0.000 0.763 0.237
Li: 0.000 0.237 0.763
Li: 0.500 0.059 0.301
Li: 0.500 0.941 0.699
Li: 0.500 0.301 0.059
Li: 0.500 0.699 0.941
Li: 0.500 0.500 0.500
Tl: 0.000 0.000 0.000
Au: 0.500 0.699 0.301
Au: 0.500 0.301 0.699

## Properties
- space group = Cmmm

Version 2
Below is Li7TlAu2 after structural relaxation, with properties calculated at the PBE-GGA level.

Unit cell a=4.535 b=4.535 c=9.836 alpha=90.00 beta=90.00 gamma=120.00
Element x y z (fractional)
Li: 0.333 0.667 0.395
Li: 0.333 0.667 0.155
Li: 0.000 0.000 0.353
Li: 0.000 0.000 0.727
Li: 0.667 0.333 0.551
Li: 0.667 0.333 0.949
Li: 0.333 0.667 0.896
Tl: 0.000 0.000 0.052
Au: 0.667 0.333 0.259
Au: 0.333 0.667 0.646

## Properties
- space group = P3m1

version 2 wins, 131 meV per atom ahead of the next structure.

Version 1
Below is Li5TlAu after structural relaxation, with properties calculated at the PBE-GGA level.

Unit cell a=5.485 b=5.485 c=9.950 alpha=78.93 beta=78.93 gamma=61.14
Element x y z (fractional)
Li: 0.640 0.886 0.169
Li: 0.431 0.264 0.543
Li: 0.886 0.640 0.669
Li: 0.158 0.842 0.250
Li: 0.736 0.569 0.957
Li: 0.264 0.431 0.043
Li: 0.842 0.158 0.750
Li: 0.114 0.360 0.331
Li: 0.569 0.736 0.457
Li: 0.360 0.114 0.831
Tl: 0.659 0.341 0.250
Tl: 0.341 0.659 0.750
Au: 0.000 0.000 0.000
Au: 0.000 0.000 0.500

## Properties
- space group = C2/c

Version 2
Below is Li5TlAu after structural relaxation, with properties calculated at the PBE-GGA level.

Unit cell a=3.905 b=3.905 c=8.471 alpha=90.00 beta=90.00 gamma=90.00
Element x y z (fractional)
Li: 0.500 0.000 0.258
Li: 0.000 0.500 0.258
Li: 0.000 0.000 0.500
Li: 0.000 0.500 0.742
Li: 0.500 0.000 0.742
Tl: 0.000 0.000 0.000
Au: 0.500 0.500 0.500

## Properties
- space group = P4/mmm

version 2 wins, 11 meV per atom ahead of the next structure.

Version 1
Below is Li2Tl2Au after structural relaxation, with properties calculated at the PBE-GGA level.

Unit cell a=3.845 b=3.845 c=7.715 alpha=75.57 beta=75.57 gamma=90.00
Element x y z (fractional)
Tl: 0.396 0.396 0.208
Tl: 0.604 0.604 0.792
Au: 0.000 0.000 0.000
Li: 0.750 0.250 0.500
Li: 0.250 0.750 0.500

## Properties
- space group = I4/mmm

Version 2
Below is Li2Tl2Au after structural relaxation, with properties calculated at the PBE-GGA level.

Unit cell a=7.606 b=7.606 c=3.617 alpha=90.00 beta=90.00 gamma=90.00
Element x y z (fractional)
Tl: 0.354 0.854 0.000
Tl: 0.854 0.646 0.000
Tl: 0.646 0.146 0.000
Tl: 0.146 0.354 0.000
Au: 0.000 0.000 0.000
Au: 0.500 0.500 0.000
Li: 0.157 0.657 0.500
Li: 0.657 0.843 0.500
Li: 0.843 0.343 0.500
Li: 0.343 0.157 0.500

## Properties
- space group = P4/mbm

version 2 wins, 117 meV per atom ahead of the next structure.

Version 1
Below is Li4Tl2Au after structural relaxation, with properties calculated at the PBE-GGA level.

Unit cell a=7.106 b=7.106 c=7.106 alpha=109.09 beta=110.24 gamma=109.09
Element x y z (fractional)
Li: 0.090 0.886 0.346
Li: 0.654 0.744 0.540
Li: 0.954 0.614 0.710
Li: 0.290 0.244 0.904
Li: 0.660 0.756 0.046
Li: 0.796 0.256 0.910
Li: 0.460 0.114 0.204
Li: 0.096 0.386 0.340
Tl: 0.875 0.143 0.518
Tl: 0.482 0.357 0.625
Tl: 0.375 0.857 0.732
Tl: 0.268 0.643 0.125
Au: 0.000 0.000 0.000
Au: 0.750 0.500 0.250

## Properties
- space group = I-42d

Version 2
Below is Li4Tl2Au after structural relaxation, with properties calculated at the PBE-GGA level.

Unit cell a=4.666 b=4.666 c=7.749 alpha=72.48 beta=72.48 gamma=60.00
Element x y z (fractional)
Li: 0.873 0.873 0.381
Li: 0.127 0.127 0.619
Li: 0.615 0.615 0.155
Li: 0.385 0.385 0.845
Tl: 0.741 0.741 0.777
Tl: 0.259 0.259 0.223
Au: 0.000 0.000 0.000

## Properties
- space group = R-3m

version 2 wins, 24 meV per atom ahead of the next structure.

Version 1
Below is Li4TlAu2 after structural relaxation, with properties calculated at the PBE-GGA level.

Unit cell a=5.006 b=5.006 c=6.436 alpha=112.88 beta=112.88 gamma=90.00
Element x y z (fractional)
Li: 0.750 0.250 0.500
Li: 0.250 0.750 0.500
Li: 0.500 0.000 0.000
Li: 0.000 0.500 0.000
Tl: 0.000 0.000 0.000
Au: 0.631 0.631 0.261
Au: 0.369 0.369 0.739

## Properties
- space group = I4/mmm

Version 2
Below is Li4TlAu2 after structural relaxation, with properties calculated at the PBE-GGA level.

Unit cell a=4.591 b=4.591 c=7.488 alpha=72.15 beta=72.15 gamma=60.00
Element x y z (fractional)
Li: 0.864 0.864 0.408
Li: 0.136 0.136 0.592
Li: 0.592 0.592 0.224
Li: 0.408 0.408 0.776
Tl: 0.000 0.000 0.000
Au: 0.740 0.740 0.780
Au: 0.260 0.260 0.220

## Properties
- space group = R-3m

version 2 wins, 209 meV per atom ahead of the next structure.